(1)
# HfMg2TaV

HfMg2TaV after structural relaxation (GGA-PBE, Alexandria via LeMat-Bulk).

Results
Formation energy from the elements ... 6.49 eV per formula unit
Magnetization ... 1.34 μB/f.u.
Crystal system ... tetragonal
Calculated volume ... 108.3 Å³ per cell
N(E_F) ... 4.44 states/eV per cell

Lattice parameters (Å, degrees): 4.828 4.644 4.828 90.00 90.00 90.00
Fractional positions:
Mg1 0.000 0.000 0.500
Mg2 0.500 0.000 0.000
V1 0.000 0.000 0.000
Hf1 0.000 0.500 0.000
Ta1 0.500 0.500 0.500

(2)
# YHf2MgTa

YHf2MgTa after structural relaxation (GGA-PBE, Alexandria via LeMat-Bulk).

Results
Formation energy from the elements ... 8.68 eV per formula unit
Magnetization ... 1.09 μB/f.u.
Crystal system ... tetragonal
Calculated volume ... 134.5 Å³ per cell
N(E_F) ... 7.98 states/eV per cell

Lattice parameters (Å, degrees): 5.189 4.995 5.189 90.00 90.00 90.00
Fractional positions:
Y1 0.000 0.000 0.000
Mg1 0.500 0.500 0.500
Hf1 0.000 0.000 0.500
Hf2 0.500 0.000 0.000
Ta1 0.000 0.500 0.000

(3)
# YHfMg2Ta

YHfMg2Ta after structural relaxation (GGA-PBE, Alexandria via LeMat-Bulk).

Results
Formation energy from the elements ... 9.52 eV per formula unit
Magnetization ... 0.00 μB/f.u.
Crystal system ... tetragonal
Calculated volume ... 131.0 Å³ per cell
N(E_F) ... 6.99 states/eV per cell

Lattice parameters (Å, degrees): 5.087 5.062 5.087 90.00 90.00 90.00
Fractional positions:
Y1 0.000 0.000 0.000
Mg1 0.000 0.000 0.500
Mg2 0.500 0.000 0.000
Hf1 0.000 0.500 0.000
Ta1 0.500 0.500 0.500

(4)
# HfMgZrTa

HfMgZrTa after structural relaxation (GGA-PBE, Alexandria via LeMat-Bulk).

Results
Formation energy from the elements ... 0.67 eV per formula unit
Magnetization ... 0.00 μB/f.u.
Crystal system ... cubic
Calculated volume ... 82.4 Å³ per cell
N(E_F) ... 4.30 states/eV per cell

Lattice parameters (Å, degrees): 4.884 4.884 4.884 60.00 60.00 60.00
Fractional positions:
Mg1 0.500 0.500 0.500
Hf1 0.750 0.750 0.750
Zr1 0.250 0.250 0.250
Ta1 0.000 0.000 0.000

(5)
# TbHfMg2

TbHfMg2 after structural relaxation (GGA-PBE, Alexandria via LeMat-Bulk).

Results
Formation energy from the elements ... 0.38 eV per formula unit
Magnetization ... 0.00 μB/f.u.
Crystal system ... tetragonal
Calculated volume ... 96.5 Å³ per cell
N(E_F) ... 4.06 states/eV per cell

Lattice parameters (Å, degrees): 3.606 3.606 7.419 90.00 90.00 90.00
Fractional positions:
Tb1 0.500 0.500 0.500
Mg1 0.000 0.000 0.773
Mg2 0.000 0.000 0.227
Hf1 0.500 0.500 0.000

(6)
# Tb2HfMg

Tb2HfMg after structural relaxation (GGA-PBE, Alexandria via LeMat-Bulk).

Results
Formation energy from the elements ... 0.09 eV per formula unit
Magnetization ... 0.00 μB/f.u.
Crystal system ... tetragonal
Calculated volume ... 108.5 Å³ per cell
N(E_F) ... 4.65 states/eV per cell

Lattice parameters (Å, degrees): 3.398 3.398 9.397 90.00 90.00 90.00
Fractional positions:
Tb1 0.000 0.000 0.757
Tb2 0.000 0.000 0.243
Mg1 0.500 0.500 0.500
Hf1 0.500 0.500 0.000

(7)
# TbHfMg2

TbHfMg2 after structural relaxation (GGA-PBE, Alexandria via LeMat-Bulk).

Results
Formation energy from the elements ... 0.55 eV per formula unit
Magnetization ... 0.00 μB/f.u.
Crystal system ... trigonal
Calculated volume ... 98.9 Å³ per cell
N(E_F) ... 4.40 states/eV per cell

Lattice parameters (Å, degrees): 3.217 3.217 11.189 81.73 81.73 60.00
Fractional positions:
Tb1 0.500 0.500 0.500
Mg1 0.746 0.746 0.763
Mg2 0.254 0.254 0.237
Hf1 0.000 0.000 0.000

(8)
# Tb2HfMg

Tb2HfMg after structural relaxation (GGA-PBE, Alexandria via LeMat-Bulk).

Results
Formation energy from the elements ... 0.57 eV per formula unit
Magnetization ... 0.00 μB/f.u.
Crystal system ... tetragonal
Calculated volume ... 107.0 Å³ per cell
N(E_F) ... 5.91 states/eV per cell

Lattice parameters (Å, degrees): 3.469 5.553 5.553 90.00 90.00 90.00
Fractional positions:
Tb1 0.000 0.000 0.500
Tb2 0.000 0.500 0.000
Mg1 0.500 0.000 0.000
Hf1 0.500 0.500 0.500